First-principles (GGA-PBE) data for crystalline Tb2Sm2Tc at its relaxed geometry, as listed in Alexandria.

Cell lengths 4.966, 4.966, 12.333 Å; angles 97.19, 97.18, 90.15 degrees
Fractional positions:
Sm: 0.079 0.589 0.127
Tb: 0.335 0.345 0.643
Sm: 0.839 0.829 0.627
Tc: 0.507 0.493 0.000
Tc: 0.743 0.257 0.500
Sm: 0.411 0.921 0.873
Sm: 0.171 0.161 0.373
Tb: 0.655 0.665 0.357
Tb: 0.595 0.085 0.143
Tb: 0.915 0.405 0.857

Properties
- electronic total energy (eV for the cell shown) = -57.00
- size of the total moment (μB/f.u.) = 0.0
- density of states at the Fermi level (states/eV per cell) = 13.2
- ρ (Mg/m³) = 7.95
- space group = No. 15
- calculated formation energy (eV/atom) = 0.113